A relaxed Li2MnOF3 crystal. Source: Alexandria, functional GGA-PBEsol.

Cell and atoms, written as POSCAR:
```
Li2MnOF3
1.0
4.790 -2.858 0.000
4.790 2.858 0.000
-0.186 0.000 5.137
Li Mn O F
4 2 2 6
Direct
0.186 0.186 0.001
0.511 0.069 0.522
0.814 0.814 0.999
0.931 0.489 0.478
0.221 0.779 0.500
0.465 0.535 0.000
0.148 0.658 0.804
0.342 0.852 0.196
0.130 0.148 0.643
0.322 0.396 0.329
0.576 0.166 0.870
0.604 0.678 0.671
0.834 0.424 0.130
0.852 0.870 0.357
```

**E**: -6.00 eV per atom
**Crystal system**: monoclinic
**Space-group type**: No. 5
**Excess energy over the best structure of this formula in the dataset**: 0.0289 eV per atom

=====

A relaxed KCo2Cu crystal. Source: Alexandria, functional GGA-PBEsol.

Cell and atoms, written as POSCAR:
```
KCo2Cu
1.0
3.913 -1.285 0.000
3.913 1.285 0.000
-0.498 0.000 6.834
K Co Cu
1 2 1
Direct
0.000 0.000 0.000
0.505 0.505 0.473
0.769 0.769 0.357
0.234 0.234 0.650
```

**E**: -4.56 eV per atom
**Crystal system**: monoclinic
**Energy relative to the elements**: 0.674 eV per atom
**Space-group type**: No. 8
**Excess energy over the best structure of this formula in the dataset**: 0.0650 eV per atom

=====

A relaxed LiMnPd2 crystal. Source: Alexandria, functional GGA-PBEsol.

Cell and atoms, written as POSCAR:
```
LiMnPd2
1.0
0.000 3.006 3.006
3.006 0.000 3.006
3.006 3.006 0.000
Li Mn Pd
1 1 2
Direct
0.000 0.000 0.000
0.500 0.500 0.500
0.250 0.250 0.250
0.750 0.750 0.750
```

**E**: -6.18 eV per atom
**Crystal system**: cubic
**Energy relative to the elements**: -0.265 eV per atom
**Space-group type**: No. 225

=====

A relaxed TlTcHg2F crystal. Source: Alexandria, functional GGA-PBEsol.

Cell and atoms, written as POSCAR:
```
TlTcHg2F
1.0
5.522 0.000 0.000
0.000 5.522 0.000
0.000 0.000 5.431
Tl Tc Hg F
1 1 2 1
Direct
0.000 0.000 0.000
0.000 0.000 0.500
0.000 0.500 0.000
0.500 0.000 0.000
0.500 0.500 0.500
```

**E**: -2.41 eV per atom
**Crystal system**: tetragonal
**Space-group type**: No. 123

=====

A relaxed Cs2Te2Br crystal. Source: Alexandria, functional GGA-PBEsol.

Cell and atoms, written as POSCAR:
```
Cs2Te2Br
1.0
-2.217 2.217 10.211
2.217 -2.217 10.211
2.217 2.217 -10.211
Cs Te Br
2 2 1
Direct
0.098 0.098 0.000
0.902 0.902 0.000
0.250 0.750 0.500
0.750 0.250 0.500
0.500 0.500 0.000
```

**E**: -3.25 eV per atom
**Crystal system**: tetragonal
**Space-group type**: No. 139

=====

A relaxed TeIrNO2 crystal. Source: Alexandria, functional GGA-PBEsol.

Cell and atoms, written as POSCAR:
```
TeIrNO2
1.0
3.903 0.000 0.000
0.000 3.903 0.000
0.000 0.000 4.161
Te Ir N O
1 1 1 2
Direct
0.000 0.000 0.000
0.500 0.500 0.500
0.000 0.000 0.500
0.000 0.500 0.000
0.500 0.000 0.000
```

**E**: -5.38 eV per atom
**Crystal system**: tetragonal
**Space-group type**: No. 123

=====

A relaxed Y2ZrRu crystal. Source: Alexandria, functional GGA-PBEsol.

Cell and atoms, written as POSCAR:
```
Y2ZrRu
1.0
3.334 0.000 0.000
0.000 4.519 0.000
-1.513 0.000 5.860
Y Zr Ru
2 1 1
Direct
0.103 0.000 0.272
0.897 0.000 0.728
0.500 0.500 0.000
0.500 0.500 0.500
```

**E**: -8.16 eV per atom
**Crystal system**: monoclinic
**Energy relative to the elements**: 0.071 eV per atom
**Space-group type**: No. 10
**Excess energy over the best structure of this formula in the dataset**: 0.2858 eV per atom

=====

A relaxed MgH2 crystal. Source: Alexandria, functional GGA-PBEsol.

Cell and atoms, written as POSCAR:
```
MgH2
1.0
4.464 0.000 0.000
0.000 5.395 0.000
0.000 0.000 4.898
Mg H
4 8
Direct
0.000 0.169 0.250
0.000 0.831 0.750
0.500 0.331 0.750
0.500 0.669 0.250
0.230 0.106 0.579
0.230 0.894 0.079
0.270 0.394 0.079
0.270 0.606 0.579
0.730 0.394 0.421
0.730 0.606 0.921
0.770 0.106 0.921
0.770 0.894 0.421
```

**E**: -2.95 eV per atom
**Crystal system**: orthorhombic
**Space-group type**: No. 60

=====

A relaxed Tl2CuSn crystal. Source: Alexandria, functional GGA-PBEsol.

Cell and atoms, written as POSCAR:
```
Tl2CuSn
1.0
0.000 3.607 3.607
3.607 0.000 3.607
3.607 3.607 0.000
Tl Cu Sn
2 1 1
Direct
0.250 0.250 0.250
0.750 0.750 0.750
0.000 0.000 0.000
0.500 0.500 0.500
```

**E**: -3.14 eV per atom
**Crystal system**: cubic
**Energy relative to the elements**: 0.327 eV per atom
**Space-group type**: No. 225

=====

A relaxed BaBeRu2 crystal. Source: Alexandria, functional GGA-PBEsol.

Cell and atoms, written as POSCAR:
```
BaBeRu2
1.0
3.087 0.000 0.000
0.000 4.393 0.000
0.000 0.000 5.019
Ba Be Ru
1 1 2
Direct
0.000 0.000 0.000
0.500 0.000 0.500
0.000 0.500 0.500
0.500 0.500 0.000
```

**E**: -5.47 eV per atom
**Crystal system**: orthorhombic
**Energy relative to the elements**: 1.149 eV per atom
**Space-group type**: No. 47

=====

A relaxed Zn2BiPbAu crystal. Source: Alexandria, functional GGA-PBEsol.

Cell and atoms, written as POSCAR:
```
Zn2BiPbAu
1.0
5.023 0.000 0.000
0.000 5.023 0.000
0.000 0.000 5.397
Zn Bi Pb Au
2 1 1 1
Direct
0.000 0.500 0.000
0.500 0.000 0.000
0.000 0.000 0.500
0.500 0.500 0.000
0.500 0.500 0.500
```

**E**: -2.35 eV per atom
**Crystal system**: tetragonal
**Energy relative to the elements**: 0.724 eV per atom
**Space-group type**: No. 123

=====

A relaxed LiOs2Au crystal. Source: Alexandria, functional GGA-PBEsol.

Cell and atoms, written as POSCAR:
```
LiOs2Au
1.0
2.503 -4.277 0.000
2.503 4.277 0.000
0.000 0.000 2.687
Li Os Au
1 2 1
Direct
0.000 0.000 0.000
0.000 0.500 0.500
0.500 0.000 0.500
0.500 0.500 0.000
```

**E**: -7.05 eV per atom
**Crystal system**: orthorhombic
**Energy relative to the elements**: 0.531 eV per atom
**Space-group type**: No. 65
**Excess energy over the best structure of this formula in the dataset**: 0.3443 eV per atom

=====

A relaxed AlFeN2 crystal. Source: Alexandria, functional GGA-PBEsol.

Cell and atoms, written as POSCAR:
```
AlFeN2
1.0
1.456 0.841 5.600
-1.456 0.841 5.600
0.000 -1.682 5.600
Al Fe N
1 1 2
Direct
0.000 0.000 0.000
0.500 0.500 0.500
0.396 0.396 0.396
0.604 0.604 0.604
```

**E**: -7.66 eV per atom
**Crystal system**: trigonal
**Space-group type**: No. 166

=====

A relaxed Zr5Ir crystal. Source: Alexandria, functional GGA-PBEsol.

Cell and atoms, written as POSCAR:
```
Zr5Ir
1.0
1.620 -7.418 0.000
1.620 7.418 0.000
0.000 0.000 4.983
Zr Ir
5 1
Direct
0.000 0.000 0.000
0.154 0.846 0.500
0.335 0.665 0.000
0.665 0.335 0.000
0.846 0.154 0.500
0.500 0.500 0.500
```

**E**: -9.46 eV per atom
**Crystal system**: orthorhombic
**Energy relative to the elements**: -0.247 eV per atom
**Space-group type**: No. 65
**Excess energy over the best structure of this formula in the dataset**: 0.0497 eV per atom

=====

A relaxed Y2CdO2 crystal. Source: Alexandria, functional GGA-PBEsol.

Cell and atoms, written as POSCAR:
```
Y2CdO2
1.0
-1.976 1.976 5.849
1.976 -1.976 5.849
1.976 1.976 -5.849
Y Cd O
2 1 2
Direct
0.161 0.161 0.000
0.839 0.839 0.000
0.500 0.500 0.000
0.250 0.750 0.500
0.750 0.250 0.500
```

**E**: -7.54 eV per atom
**Crystal system**: tetragonal
**Space-group type**: No. 139

=====

A relaxed BaLi2Tl2 crystal. Source: Alexandria, functional GGA-PBEsol.

Cell and atoms, written as POSCAR:
```
BaLi2Tl2
1.0
8.671 0.000 0.000
0.000 8.671 0.000
0.000 0.000 3.416
Ba Li Tl
2 4 4
Direct
0.000 0.000 0.000
0.500 0.500 0.000
0.117 0.383 0.000
0.383 0.883 0.000
0.617 0.117 0.000
0.883 0.617 0.000
0.172 0.672 0.500
0.328 0.172 0.500
0.672 0.828 0.500
0.828 0.328 0.500
```

**E**: -2.52 eV per atom
**Crystal system**: tetragonal
**Energy relative to the elements**: -0.249 eV per atom
**Space-group type**: No. 127
**Excess energy over the best structure of this formula in the dataset**: 0.0064 eV per atom

=====

A relaxed BOsS2 crystal. Source: Alexandria, functional GGA-PBEsol.

Cell and atoms, written as POSCAR:
```
BOsS2
1.0
1.454 0.839 6.860
-1.454 0.839 6.860
0.000 -1.678 6.860
B Os S
1 1 2
Direct
0.000 0.000 0.000
0.500 0.500 0.500
0.392 0.392 0.392
0.608 0.608 0.608
```

**E**: -6.69 eV per atom
**Crystal system**: trigonal
**Space-group type**: No. 166

=====

A relaxed ReBi3Cl crystal. Source: Alexandria, functional GGA-PBEsol.

Cell and atoms, written as POSCAR:
```
ReBi3Cl
1.0
5.274 0.000 0.000
0.000 5.274 0.000
0.000 0.000 5.274
Re Bi Cl
1 3 1
Direct
0.000 0.000 0.000
0.000 0.500 0.500
0.500 0.000 0.500
0.500 0.500 0.000
0.500 0.500 0.500
```

**E**: -4.01 eV per atom
**Crystal system**: cubic
**Space-group type**: No. 221

=====

A relaxed Cs2CaNbW crystal. Source: Alexandria, functional GGA-PBEsol.

Cell and atoms, written as POSCAR:
```
Cs2CaNbW
1.0
6.554 0.000 0.000
0.000 6.554 0.000
0.000 0.000 5.322
Cs Ca Nb W
2 1 1 1
Direct
0.000 0.500 0.000
0.500 0.000 0.000
0.000 0.000 0.000
0.000 0.000 0.500
0.500 0.500 0.500
```

**E**: -2.98 eV per atom
**Crystal system**: tetragonal
**Energy relative to the elements**: 2.754 eV per atom
**Space-group type**: No. 123

=====

A relaxed Sr2MgAg2 crystal. Source: Alexandria, functional GGA-PBEsol.

Cell and atoms, written as POSCAR:
```
Sr2MgAg2
1.0
7.989 0.000 0.000
0.000 7.989 0.000
0.000 0.000 4.474
Sr Mg Ag
4 2 4
Direct
0.174 0.326 0.000
0.326 0.826 0.000
0.674 0.174 0.000
0.826 0.674 0.000
0.000 0.000 0.500
0.500 0.500 0.500
0.125 0.625 0.500
0.375 0.125 0.500
0.625 0.875 0.500
0.875 0.375 0.500
```

**E**: -2.63 eV per atom
**Crystal system**: tetragonal
**Energy relative to the elements**: -0.226 eV per atom
**Space-group type**: No. 127

=====

A relaxed HfTl4Te4 crystal. Source: Alexandria, functional GGA-PBEsol.

Cell and atoms, written as POSCAR:
```
HfTl4Te4
1.0
7.229 4.174 4.640
-7.229 4.174 4.640
0.000 -8.347 4.640
Hf Tl Te
3 12 12
Direct
0.000 0.000 0.000
0.254 0.254 0.254
0.746 0.746 0.746
0.034 0.372 0.864
0.136 0.966 0.628
0.164 0.620 0.489
0.372 0.864 0.034
0.380 0.511 0.836
0.489 0.164 0.620
0.511 0.836 0.380
0.620 0.489 0.164
0.628 0.136 0.966
0.836 0.380 0.511
0.864 0.034 0.372
0.966 0.628 0.136
0.052 0.736 0.839
0.161 0.948 0.264
0.202 0.304 0.540
0.264 0.161 0.948
0.304 0.540 0.202
0.460 0.798 0.696
0.540 0.202 0.304
0.696 0.460 0.798
0.736 0.839 0.052
0.798 0.696 0.460
0.839 0.052 0.736
0.948 0.264 0.161
```

**E**: -4.34 eV per atom
**Crystal system**: trigonal
**Space-group type**: No. 148

=====

A relaxed CsTaSe3 crystal. Source: Alexandria, functional GGA-PBEsol.

Cell and atoms, written as POSCAR:
```
CsTaSe3
1.0
5.092 0.000 0.000
0.000 5.092 0.000
0.000 0.000 5.092
Cs Ta Se
1 1 3
Direct
0.000 0.000 0.000
0.500 0.500 0.500
0.000 0.500 0.500
0.500 0.000 0.500
0.500 0.500 0.000
```

**E**: -5.81 eV per atom
**Crystal system**: cubic
**Space-group type**: No. 221
**Excess energy over the best structure of this formula in the dataset**: 0.1786 eV per atom

=====

A relaxed MoS2N crystal. Source: Alexandria, functional GGA-PBEsol.

Cell and atoms, written as POSCAR:
```
MoS2N
1.0
-2.465 2.465 4.984
2.465 -2.465 4.984
2.465 2.465 -4.984
Mo S N
2 4 2
Direct
0.000 0.000 0.000
0.750 0.250 0.500
0.165 0.625 0.040
0.375 0.415 0.540
0.585 0.125 0.960
0.875 0.835 0.460
0.250 0.750 0.500
0.500 0.500 0.000
```

**E**: -6.52 eV per atom
**Crystal system**: tetragonal
**Space-group type**: No. 122

=====

A relaxed La3BiCl crystal. Source: Alexandria, functional GGA-PBEsol.

Cell and atoms, written as POSCAR:
```
La3BiCl
1.0
5.354 0.000 0.000
0.000 5.354 0.000
0.000 0.000 5.354
La Bi Cl
3 1 1
Direct
0.000 0.000 0.500
0.000 0.500 0.000
0.500 0.000 0.000
0.500 0.500 0.500
0.000 0.000 0.000
```

**E**: -5.32 eV per atom
**Crystal system**: cubic
**Space-group type**: No. 221

=====

A relaxed Rb2WIN crystal. Source: Alexandria, functional GGA-PBEsol.

Cell and atoms, written as POSCAR:
```
Rb2WIN
1.0
6.911 0.000 0.000
0.000 6.911 0.000
0.000 0.000 5.463
Rb W I N
2 1 1 1
Direct
0.000 0.500 0.000
0.500 0.000 0.000
0.000 0.000 0.000
0.000 0.000 0.500
0.500 0.500 0.500
```

**E**: -3.42 eV per atom
**Crystal system**: tetragonal
**Space-group type**: No. 123

=====

A relaxed MgSn2GePb crystal. Source: Alexandria, functional GGA-PBEsol.

Cell and atoms, written as POSCAR:
```
MgSn2GePb
1.0
5.272 0.000 0.000
0.000 5.272 0.000
0.000 0.000 5.375
Mg Sn Ge Pb
1 2 1 1
Direct
0.000 0.000 0.000
0.000 0.500 0.000
0.500 0.000 0.000
0.500 0.500 0.500
0.000 0.000 0.500
```

**E**: -3.18 eV per atom
**Crystal system**: tetragonal
**Energy relative to the elements**: 0.653 eV per atom
**Space-group type**: No. 123